This record from the Alexandria database describes a relaxed structure of CaGa. The functional is GGA-PBEsol.

Output
Electronic total energy, eV/atom: -3.22
Volume, Å³ per atom: 24.66
Space group: Cmcm (63)
M_tot, μB/f.u.: 0.00

Cell: 6.0759 6.0759 4.3881 Å, 90.00 90.00 142.48°
With the nearest neighbours (Å) after each atom.
Fractional coordinates of all 4 atoms:
Ca 0.6482 0.3518 0.2500  7 Ga 3.08-3.27
Ca 0.3518 0.6482 0.7500  7 Ga 3.08-3.27
Ga 0.9325 0.0675 0.2500  2 Ga 2.69
Ga 0.0675 0.9325 0.7500  2 Ga 2.69